Record 1
! KAuSO | OQMD via LeMat-Bulk | PBE-GGA | optimized geometry; values from VASP
&SYSTEM
  ibrav = 0, nat = 8, ntyp = 4
/
ATOMIC_SPECIES
Au 196.97 Au.upf
K 39.10 K.upf
O 16.00 O.upf
S 32.06 S.upf
ATOMIC_POSITIONS angstrom
Au 3.4742 3.4742 0.1691
Au 1.1581 1.1581 8.5017
K 3.4742 1.1581 4.3354
K 1.1581 3.4742 4.3354
O 3.4742 1.1581 0.0000
O 1.1581 3.4742 0.0000
S 3.4742 3.4742 2.5090
S 1.1581 1.1581 6.1617
CELL_PARAMETERS angstrom
4.6322 0.0000 0.0000
0.0000 4.6322 0.0000
0.0000 0.0000 8.6708
! Energy above the most stable polymorph in this dataset   0.806 eV/atom
! Energy   -3.22 eV/atom
! ρ   5.07 g/cm³

=====

Record 2
! HfZnSb2 | OQMD via LeMat-Bulk | PBE-GGA | optimized geometry; values from VASP
&SYSTEM
  ibrav = 0, nat = 8, ntyp = 3
/
ATOMIC_SPECIES
Hf 178.49 Hf.upf
Sb 121.76 Sb.upf
Zn 65.41 Zn.upf
ATOMIC_POSITIONS angstrom
Hf -3.6867 2.4610 4.5420
Hf -3.3675 2.9792 0.0864
Sb -4.3680 5.1842 4.7305
Sb -0.8252 -0.8483 -2.4272
Sb -4.6409 1.4677 2.0887
Sb -4.7848 -2.1038 -0.5269
Zn 0.0000 0.0000 0.0000
Zn -3.9420 -1.1293 1.8462
CELL_PARAMETERS angstrom
-4.2612 -1.6475 6.3018
-3.1122 6.5695 2.7822
0.0640 -3.0721 -7.1515
! Energy   -4.80 eV/atom
! ρ   6.28 g/cm³

=====

Record 3
! LaAgO3 | OQMD via LeMat-Bulk | PBE-GGA | optimized geometry; values from VASP
&SYSTEM
  ibrav = 0, nat = 20, ntyp = 3
/
ATOMIC_SPECIES
Ag 107.87 Ag.upf
La 138.91 La.upf
O 16.00 O.upf
ATOMIC_POSITIONS angstrom
Ag -2.6203 -0.1384 -1.0258
Ag -0.2095 -2.8447 0.9191
Ag -4.0776 1.1169 2.5272
Ag -1.6668 -1.5894 4.4721
La -5.9026 -0.0296 -0.1134
La -3.6819 -2.7459 1.7571
La -4.8924 -0.7097 5.1355
La -2.6717 -3.4261 7.0060
O -3.9449 -1.7911 -0.4617
O -4.7142 -4.6653 0.2383
O -1.5086 -2.0219 2.3927
O -3.1643 -4.9430 2.7456
O -5.0701 -0.8220 2.2815
O -5.8393 -3.6962 2.9815
O -2.7349 0.2405 3.9111
O -3.5042 -2.6337 4.6110
O -5.4100 1.4873 4.1470
O -7.0656 -1.4338 4.4999
O -3.8601 1.2097 6.6543
O -4.6293 -1.6646 7.3542
CELL_PARAMETERS angstrom
-5.2406 -0.2768 -2.0516
-0.4191 -5.6894 1.8381
-2.9146 2.5105 7.1061
! Energy   -6.23 eV/atom
! ρ   7.17 g/cm³